# 1
The following is a GGA-PBE calculation of a relaxed structure of Sr2Cu2Pt, from Alexandria. Values from VASP.

Calculated values
The calculation puts the relative energy among the computed polymorphs at 0.13 eV per formula unit. The calculation puts the formation energy from the elements at -334 meV per atom. Its density of states at the Fermi level is 5.817 states/eV/cell. As for the total magnetization: 0.00 μB/atom.

Cell and atoms, written as Quantum ESPRESSO input:
```
&SYSTEM
  ibrav = 0, nat = 10, ntyp = 3
/
ATOMIC_SPECIES
Pt 195.08 Pt.upf
Sr 87.62 Sr.upf
Cu 63.55 Cu.upf
CELL_PARAMETERS angstrom
-2.973 1.550 -4.711
1.364 -5.274 0.952
-7.204 0.643 4.757
ATOMIC_POSITIONS crystal
Pt 0.879 0.000 0.250
Pt 0.121 0.000 0.750
Sr 0.469 0.692 0.844
Sr 0.777 0.308 0.656
Sr 0.531 0.308 0.156
Sr 0.223 0.692 0.344
Cu 0.754 0.754 0.495
Cu 0.000 0.754 0.995
Cu 0.246 0.246 0.505
Cu 0.000 0.246 0.005
```

***

# 2
The following is a GGA-PBE calculation of a relaxed structure of BaMoOsPb2, from Alexandria. Values from VASP.

Calculated values
The calculation puts the relative energy among the computed polymorphs at 0.00 eV per formula unit. The calculation puts the formation energy from the elements at 1145 meV per atom. Its density of states at the Fermi level is 3.159 states/eV/cell. As for the total magnetization: 0.93 μB/atom.

Cell and atoms, written as Quantum ESPRESSO input:
```
&SYSTEM
  ibrav = 0, nat = 5, ntyp = 4
/
ATOMIC_SPECIES
Pb 207.20 Pb.upf
Ba 137.33 Ba.upf
Mo 95.94 Mo.upf
Os 190.23 Os.upf
CELL_PARAMETERS angstrom
-1.271 2.097 4.651
-5.849 0.376 -1.768
-0.891 -4.811 1.926
ATOMIC_POSITIONS crystal
Pb 0.000 0.000 0.500
Pb 0.500 0.000 0.000
Ba 0.000 0.500 0.000
Mo 0.500 0.500 0.500
Os 0.000 0.000 0.000
```

***

# 3
The following is a GGA-PBE calculation of a relaxed structure of Ho4TmSc7, from Alexandria. Values from VASP.

Calculated values
The calculation puts the formation energy from the elements at 279 meV per atom. Its density of states at the Fermi level is 21.957 states/eV/cell. As for the total magnetization: 0.05 μB/atom.

Cell and atoms, written as Quantum ESPRESSO input:
```
&SYSTEM
  ibrav = 0, nat = 12, ntyp = 3
/
ATOMIC_SPECIES
Tm 168.93 Tm.upf
Sc 44.96 Sc.upf
Ho 164.93 Ho.upf
CELL_PARAMETERS angstrom
-3.490 -2.209 -3.635
6.150 -1.136 -9.380
-0.492 -6.245 0.104
ATOMIC_POSITIONS crystal
Tm 0.000 0.000 0.000
Sc 0.206 0.086 0.502
Sc 0.647 0.483 0.223
Sc 0.500 0.000 0.000
Sc 0.030 0.616 0.323
Sc 0.794 0.914 0.498
Sc 0.970 0.384 0.677
Sc 0.353 0.517 0.777
Ho 0.351 0.774 0.524
Ho 0.649 0.226 0.476
Ho 0.695 0.706 0.903
Ho 0.305 0.294 0.097
```

***

# 4
The following is a GGA-PBE calculation of a relaxed structure of Na3Ca2Au4, from Alexandria. Values from VASP.

Calculated values
The calculation puts the formation energy from the elements at -499 meV per atom. Its density of states at the Fermi level is 6.195 states/eV/cell. As for the total magnetization: 0.00 μB/atom.

Cell and atoms, written as Quantum ESPRESSO input:
```
&SYSTEM
  ibrav = 0, nat = 18, ntyp = 3
/
ATOMIC_SPECIES
Ca 40.08 Ca.upf
Au 196.97 Au.upf
Na 22.99 Na.upf
CELL_PARAMETERS angstrom
7.500 -0.117 0.000
-2.578 7.558 0.000
0.000 0.000 7.931
ATOMIC_POSITIONS crystal
Ca 0.445 0.817 0.676
Ca 0.555 0.183 0.324
Ca 0.055 0.183 0.176
Ca 0.945 0.817 0.824
Au 0.367 0.464 0.367
Au 0.660 0.939 0.027
Au 0.840 0.061 0.527
Au 0.133 0.536 0.867
Au 0.867 0.464 0.133
Au 0.633 0.536 0.633
Au 0.160 0.939 0.473
Au 0.340 0.061 0.973
Na 0.759 0.742 0.313
Na 0.241 0.258 0.687
Na 0.000 0.500 0.500
Na 0.500 0.500 0.000
Na 0.741 0.258 0.813
Na 0.259 0.742 0.187
```

***

What total DFT energy (no corrections) values result from the calculations? In sequence: -38.538, -25.673, -63.752, -51.127 eV/cell.